Density functional theory data (GGA-PBE) for TlAs2Se2 after structural relaxation.

a b c (Å): 5.832 5.832 5.832
angles (deg): 125.45 125.45 80.79
Sites, in units of the cell vectors:
Tl (0.000, 0.000, 0.000)
As (0.342, 0.342, 0.000)
As (0.658, 0.658, 0.000)
Se (0.250, 0.750, 0.500)
Se (0.750, 0.250, 0.500)

Properties
For the total DFT energy (no corrections), the calculation gives -3.677 eV/atom. The excess energy over the best structure of this formula in the dataset is 2.82 kJ per mole of atoms. For the size of the total moment, the calculation gives 0.00 μB/cell. Its formation energy from raw total energies is 4.8 kJ per mole of atoms.

=====

Density functional theory data (GGA-PBE) for KRb2NaP after structural relaxation.

a b c (Å): 6.866 6.866 5.569
angles (deg): 90.00 90.00 90.00
Sites, in units of the cell vectors:
K (0.000, 0.000, 0.000)
Rb (0.000, 0.500, 0.500)
Rb (0.500, 0.000, 0.500)
Na (0.500, 0.500, 0.000)
P (0.500, 0.500, 0.500)

Properties
For the total DFT energy (no corrections), the calculation gives -1.988 eV/atom. The calculation puts the energy of formation at -0.036 eV per atom. For the size of the total moment, the calculation gives 0.00 μB/cell.